(1)
Ce2SmTlIr, optimized geometry, DFT PBE; calculated formation energy = -0.2960 eV/atom; mass density = 8.4 Mg/m³; magnetization = 1.800 μB/f.u.
1.0
-0.079 2.350 4.796
-5.159 -1.273 0.539
1.473 -4.935 2.442
Sm Ce Tl Ir
1 2 1 1
Direct
0.000 0.000 0.500 Sm
0.000 0.500 0.000 Ce
0.500 0.000 0.000 Ce
0.500 0.500 0.501 Tl
0.000 0.000 0.000 Ir

(2)
CeSmTlIr, optimized geometry, DFT PBE; calculated formation energy = -0.3314 eV/atom; mass density = 11.4 Mg/m³; magnetization = 0.673 μB/f.u.
1.0
5.209 0.000 0.000
2.605 4.511 0.000
2.605 1.504 4.253
Ir Sm Ce Tl
1 1 1 1
Direct
0.500 0.500 0.500 Ir
0.250 0.250 0.250 Sm
0.750 0.750 0.750 Ce
0.000 0.000 0.000 Tl